Compound: Hf6Ga2Co
Source: Alexandria
Functional: PBE-GGA
Structure: relaxed

Computed properties:
Theoretical density in g/cm³: 12.1
DFT formation energy in meV per atom: -392
Space-group type: P-62m

Geometry as extended XYZ:
```
9
Lattice="7.779 0.000 0.000 -3.890 6.737 0.000 0.000 0.000 3.313" Properties=species:S:1:pos:R:3 pbc="T T T"
Hf -0.971 1.683 0.000
Hf -2.331 4.038 1.656
Hf 1.943 0.000 0.000
Hf 1.558 2.699 1.656
Hf 4.663 0.000 1.656
Hf 2.918 5.054 0.000
Ga 0.000 4.491 0.000
Ga 3.890 2.246 0.000
Co 0.000 0.000 1.656
```